! Nb2Zn2SnO8 | Alexandria | PBE | relaxed; values from VASP
! Total magnetic moment, μB per formula unit: 0.000
! Theoretical density, kg/m3: 5476
! Density of states at the Fermi level, states/eV per atom: 0.00
! Calculated volume, Å³/atom: 13.14
! Calculated total energy, eV/atom: -7.078
! Formation energy (no corrections), eV per atom: -1.97
&SYSTEM
  ibrav = 0, nat = 26, ntyp = 4
/
ATOMIC_SPECIES
Nb 92.91 Nb.upf
Zn 65.41 Zn.upf
Sn 118.71 Sn.upf
O 16.00 O.upf
ATOMIC_POSITIONS crystal
Nb 0.038 0.711 0.781
Nb 0.289 0.962 0.719
Nb 0.711 0.038 0.281
Nb 0.962 0.289 0.219
Zn 0.126 0.430 0.272
Zn 0.430 0.126 0.772
Zn 0.570 0.874 0.228
Zn 0.874 0.570 0.728
Sn 0.305 0.695 0.250
Sn 0.695 0.305 0.750
O 0.007 0.833 0.474
O 0.072 0.294 0.923
O 0.154 0.449 0.641
O 0.167 0.993 0.026
O 0.294 0.072 0.423
O 0.313 0.550 0.887
O 0.449 0.154 0.141
O 0.450 0.687 0.613
O 0.550 0.313 0.387
O 0.551 0.846 0.859
O 0.687 0.450 0.113
O 0.706 0.928 0.577
O 0.833 0.007 0.974
O 0.846 0.551 0.359
O 0.928 0.706 0.077
O 0.993 0.167 0.526
CELL_PARAMETERS angstrom
10.483 -3.009 0.000
10.483 3.009 0.000
-0.151 0.000 5.415

! ZrNbSnO6 | Alexandria | PBE | relaxed; values from VASP
! Total magnetic moment, μB per formula unit: 0.000
! Theoretical density, kg/m3: 5608
! Density of states at the Fermi level, states/eV per atom: 0.29
! Calculated volume, Å³/atom: 13.12
! Calculated total energy, eV/atom: -8.197
! Formation energy (no corrections), eV per atom: -2.38
&SYSTEM
  ibrav = 0, nat = 18, ntyp = 4
/
ATOMIC_SPECIES
Zr 91.22 Zr.upf
Nb 92.91 Nb.upf
Sn 118.71 Sn.upf
O 16.00 O.upf
ATOMIC_POSITIONS crystal
Zr 0.333 0.667 0.250
Zr 0.667 0.333 0.750
Nb 0.333 0.667 0.750
Nb 0.667 0.333 0.250
Sn 0.000 0.000 0.000
Sn 0.000 0.000 0.500
O 0.012 0.354 0.632
O 0.012 0.658 0.868
O 0.342 0.354 0.868
O 0.342 0.988 0.632
O 0.354 0.012 0.132
O 0.354 0.342 0.368
O 0.646 0.658 0.632
O 0.646 0.988 0.868
O 0.658 0.012 0.368
O 0.658 0.646 0.132
O 0.988 0.342 0.132
O 0.988 0.646 0.368
CELL_PARAMETERS angstrom
5.396 0.000 0.000
-2.698 4.673 0.000
0.000 0.000 9.367

! SrNbO3 | Alexandria | PBE | relaxed; values from VASP
! Total magnetic moment, μB per formula unit: 0.128
! Theoretical density, kg/m3: 5561
! Density of states at the Fermi level, states/eV per atom: 0.40
! Calculated volume, Å³/atom: 13.65
! Calculated total energy, eV/atom: -7.858
! Formation energy (no corrections), eV per atom: -2.53
&SYSTEM
  ibrav = 0, nat = 20, ntyp = 3
/
ATOMIC_SPECIES
Sr 87.62 Sr.upf
Nb 92.91 Nb.upf
O 16.00 O.upf
ATOMIC_POSITIONS crystal
Sr 0.066 0.934 0.750
Sr 0.358 0.642 0.250
Sr 0.642 0.358 0.750
Sr 0.934 0.066 0.250
Nb 0.132 0.444 0.749
Nb 0.444 0.132 0.249
Nb 0.556 0.868 0.751
Nb 0.868 0.556 0.251
O 0.041 0.670 0.008
O 0.042 0.671 0.491
O 0.329 0.958 0.009
O 0.330 0.959 0.492
O 0.344 0.345 0.499
O 0.345 0.344 0.999
O 0.655 0.656 0.001
O 0.656 0.655 0.501
O 0.670 0.041 0.508
O 0.671 0.042 0.991
O 0.958 0.329 0.509
O 0.959 0.330 0.992
CELL_PARAMETERS angstrom
5.549 -4.484 0.000
5.549 4.484 0.000
-0.012 0.000 5.486